# Ac3Al8Cd

An optimized crystal structure of Ac3Al8Cd (PBE, the Alexandria database).

Calculated values
Total energy in eV/atom: -3.83
Volume in Å³ per cell: 283
Formation enthalpy at 0 K in eV per atom: -0.2361
Size of the total moment in μB per cell: 0.0
D(E_F) in states/eV per cell: 9.00

Lattice parameters (Å, degrees): 10.1022 10.1022 10.1022 33.69 33.69 33.69
With the nearest neighbours (Å) after each atom.
Positions (direct):
Ac  0.0000  0.0000  0.0000  12 Al 3.40-3.44, 4 Ac 3.64-3.70
Ac  0.1294  0.1294  0.1294  12 Al 3.34-3.48, 3 Cd 3.53, 1 Ac 3.70
Ac  0.6198  0.6198  0.6198  12 Al 3.34-3.57, 1 Cd 3.48, 3 Ac 3.64
Al  0.0615  0.0615  0.5665  6 Al 2.89-2.96
Al  0.0615  0.5665  0.0615  6 Al 2.89-2.96
Al  0.0618  0.5644  0.5644  6 Al 2.91-2.95
Al  0.3125  0.3125  0.3125  6 Al 2.91-2.95
Al  0.5644  0.0618  0.5644  6 Al 2.91-2.95
Al  0.5644  0.5644  0.0618  6 Al 2.91-2.95
Al  0.5665  0.0615  0.0615  6 Al 2.89-2.96
Al  0.8138  0.8138  0.8138  6 Al 2.89-2.92
Cd  0.4980  0.4980  0.4980  12 Al 3.35-3.47, 4 Ac 3.48-3.53